1.
Material: NdCdAgPd
Method: DFT, PBE
State: optimized geometry

Properties
**SG**: No. 8
**Raw total energy**: -15.53 eV/cell
**DFT formation energy**: -174 kJ/mol of formula units
**V**: 89.5 Å³/f.u.

Lattice parameters (Å, degrees): 4.8016 5.2786 4.7979 117.11 120.03 90.00
Last column: nearest neighbours and their distance in Å.
Element x y z (fractional)
Nd1 0.2520 0.7556 0.5040  4 Pd 3.00-3.15, 4 Ag 3.04-3.13
Cd1 0.7416 0.2251 0.4833  3 Pd 2.84, 3 Ag 2.92
Ag1 0.4777 0.4329 0.9554  3 Cd 2.92, 4 Nd 3.04-3.13, 3 Pd 3.17-3.18
Pd1 0.0287 0.0864 0.0573  3 Cd 2.84, 4 Nd 3.00-3.15, 3 Ag 3.17-3.18

***

2.
Material: Nd2CdAg2Pd5
Method: DFT, PBE
State: optimized geometry

Properties
**SG**: No. 127
**Raw total energy**: -93.52 eV/cell
**DFT formation energy**: -448 kJ/mol of formula units
**V**: 197.8 Å³/f.u.

Lattice parameters (Å, degrees): 4.1117 9.8099 9.8099 90.00 90.00 90.00
Last column: nearest neighbours and their distance in Å.
Element x y z (fractional)
Nd1 0.0000 0.6753 0.1753  3 Ag 2.80-2.97
Nd2 0.0000 0.3247 0.8247  3 Ag 2.80-2.97
Nd3 0.0000 0.1753 0.3247  3 Ag 2.80-2.97
Nd4 0.0000 0.8247 0.6753  3 Ag 2.80-2.97
Cd1 0.0000 0.0000 0.0000  8 Pd 2.91
Cd2 0.0000 0.5000 0.5000  8 Pd 2.91
Ag1 0.0000 0.1229 0.6229  6 Pd 2.67-2.75, 3 Nd 2.80-2.97
Ag2 0.0000 0.8771 0.3771  6 Pd 2.67-2.75, 3 Nd 2.80-2.97
Ag3 0.0000 0.6229 0.8771  6 Pd 2.67-2.75, 3 Nd 2.80-2.97
Ag4 0.0000 0.3771 0.1229  6 Pd 2.67-2.75, 3 Nd 2.80-2.97
Pd1 0.5000 0.2002 0.0641  2 Ag 2.75, 2 Cd 2.91, 3 Pd 2.92-3.01
Pd2 0.5000 0.7998 0.9359  2 Ag 2.75, 2 Cd 2.91, 3 Pd 2.92-3.01
Pd3 0.5000 0.0641 0.7998  2 Ag 2.75, 2 Cd 2.91, 3 Pd 2.92-3.01
Pd4 0.5000 0.7002 0.4359  2 Ag 2.75, 2 Cd 2.91, 3 Pd 2.92-3.01
Pd5 0.5000 0.9359 0.2002  2 Ag 2.75, 2 Cd 2.91, 3 Pd 2.92-3.01
Pd6 0.5000 0.2998 0.5641  2 Ag 2.75, 2 Cd 2.91, 3 Pd 2.92-3.01
Pd7 0.5000 0.5641 0.7002  2 Ag 2.75, 2 Cd 2.91, 3 Pd 2.92-3.01
Pd8 0.5000 0.4359 0.2998  2 Ag 2.75, 2 Cd 2.91, 3 Pd 2.92-3.01
Pd9 0.5000 0.5000 0.0000  4 Ag 2.67
Pd10 0.5000 0.0000 0.5000  4 Ag 2.67

***

3.
Material: PmNdCdAg
Method: DFT, PBE
State: optimized geometry

Properties
**SG**: No. 216
**Raw total energy**: -14.40 eV/cell
**DFT formation energy**: -108 kJ/mol of formula units
**V**: 109.3 Å³/f.u.

Lattice parameters (Å, degrees): 5.3671 5.3671 5.3671 60.00 60.00 60.00
Last column: nearest neighbours and their distance in Å.
Element x y z (fractional)
Cd1 0.7500 0.7500 0.7500  4 Nd 3.29, 4 Pm 3.29
Nd1 0.5000 0.5000 0.5000  4 Cd 3.29, 4 Ag 3.29
Ag1 0.2500 0.2500 0.2500  4 Nd 3.29, 4 Pm 3.29
Pm1 0.0000 0.0000 0.0000  4 Ag 3.29, 4 Cd 3.29

***

4.
Material: PmNdCdAg
Method: DFT, PBE
State: optimized geometry

Properties
**SG**: No. 99
**Raw total energy**: -14.44 eV/cell
**DFT formation energy**: -112 kJ/mol of formula units
**V**: 109.1 Å³/f.u.

Lattice parameters (Å, degrees): 3.7961 3.7961 7.5685 90.00 90.00 90.00
Last column: nearest neighbours and their distance in Å.
Element x y z (fractional)
Pm1 0.5000 0.5000 0.5993  4 Ag 3.23, 4 Cd 3.30
Nd1 0.5000 0.5000 0.1135  4 Ag 3.28, 4 Cd 3.33
Cd1 0.0000 0.0000 0.8537  4 Pm 3.30, 4 Nd 3.33
Ag1 0.0000 0.0000 0.3614  4 Pm 3.23, 4 Nd 3.28

***

5.
Material: PrNd2Cd2Ag2
Method: DFT, PBE
State: optimized geometry

Properties
**SG**: No. 166
**Raw total energy**: -23.23 eV/cell
**DFT formation energy**: -133 kJ/mol of formula units
**V**: 190.4 Å³/f.u.

Lattice parameters (Å, degrees): 4.9455 4.9455 9.4311 74.80 74.80 60.00
Last column: nearest neighbours and their distance in Å.
Element x y z (fractional)
Pr1 0.0000 0.0000 0.0000  6 Ag 3.38, 2 Nd 3.38, 6 Cd 3.43
Nd1 0.1253 0.1253 0.6241  3 Cd 3.22, 3 Ag 3.26, 1 Pr 3.38
Nd2 0.8747 0.8747 0.3759  3 Cd 3.22, 3 Ag 3.26, 1 Pr 3.38
Cd1 0.7369 0.7369 0.7894  3 Ag 2.86
Cd2 0.2631 0.2631 0.2106  3 Ag 2.86
Ag1 0.5997 0.5997 0.2008  3 Cd 2.86
Ag2 0.4003 0.4003 0.7992  3 Cd 2.86

***

6.
Material: NdCdAgPt
Method: DFT, PBE
State: optimized geometry

Properties
**SG**: No. 216
**Raw total energy**: -16.66 eV/cell
**DFT formation energy**: -201 kJ/mol of formula units
**V**: 86.9 Å³/f.u.

Lattice parameters (Å, degrees): 4.9725 4.9725 4.9725 60.00 60.00 60.00
Last column: nearest neighbours and their distance in Å.
Element x y z (fractional)
Nd1 0.7500 0.7500 0.7500  4 Ag 3.05, 4 Pt 3.05
Ag1 0.5000 0.5000 0.5000  4 Cd 3.05, 4 Nd 3.05
Pt1 0.0000 0.0000 0.0000  4 Nd 3.05, 4 Cd 3.05
Cd1 0.2500 0.2500 0.2500  4 Pt 3.05, 4 Ag 3.05

***

7.
Material: NdPuCdAg
Method: DFT, PBE
State: optimized geometry

Properties
**SG**: No. 216
**Raw total energy**: -23.08 eV/cell
**DFT formation energy**: -20 kJ/mol of formula units
**V**: 107.9 Å³/f.u.

Lattice parameters (Å, degrees): 5.3442 5.3442 5.3442 60.00 60.00 60.00
Last column: nearest neighbours and their distance in Å.
Element x y z (fractional)
Cd1 0.0000 0.0000 0.0000  4 Pu 3.27, 4 Nd 3.27
Nd1 0.7500 0.7500 0.7500  4 Cd 3.27, 4 Ag 3.27
Ag1 0.5000 0.5000 0.5000  4 Nd 3.27, 4 Pu 3.27
Pu1 0.2500 0.2500 0.2500  4 Ag 3.27, 4 Cd 3.27

***

8.
Material: NdCdAgRh
Method: DFT, PBE
State: optimized geometry

Properties
**SG**: No. 216
**Raw total energy**: -17.11 eV/cell
**DFT formation energy**: -119 kJ/mol of formula units
**V**: 84.6 Å³/f.u.

Lattice parameters (Å, degrees): 4.9280 4.9280 4.9280 60.00 60.00 60.00
Last column: nearest neighbours and their distance in Å.
Element x y z (fractional)
Rh1 0.5000 0.5000 0.5000  4 Cd 3.02, 4 Nd 3.02
Nd1 0.2500 0.2500 0.2500  4 Rh 3.02, 4 Ag 3.02
Ag1 0.0000 0.0000 0.0000  4 Cd 3.02, 4 Nd 3.02
Cd1 0.7500 0.7500 0.7500  4 Rh 3.02, 4 Ag 3.02

***

9.
Material: NdScCdAg
Method: DFT, PBE
State: optimized geometry

Properties
**SG**: No. 216
**Raw total energy**: -15.82 eV/cell
**DFT formation energy**: -92 kJ/mol of formula units
**V**: 98.2 Å³/f.u.

Lattice parameters (Å, degrees): 5.1784 5.1784 5.1784 60.00 60.00 60.00
Last column: nearest neighbours and their distance in Å.
Element x y z (fractional)
Sc1 0.0000 0.0000 0.0000  4 Ag 3.17, 4 Cd 3.17
Nd1 0.5000 0.5000 0.5000  4 Cd 3.17, 4 Ag 3.17
Ag1 0.2500 0.2500 0.2500  4 Nd 3.17, 4 Sc 3.17
Cd1 0.7500 0.7500 0.7500  4 Nd 3.17, 4 Sc 3.17

***

10.
Material: NdScCdAg
Method: DFT, PBE
State: optimized geometry

Properties
**SG**: No. 99
**Raw total energy**: -15.93 eV/cell
**DFT formation energy**: -102 kJ/mol of formula units
**V**: 96.7 Å³/f.u.

Lattice parameters (Å, degrees): 3.5502 3.5502 7.6730 90.00 90.00 90.00
Last column: nearest neighbours and their distance in Å.
Element x y z (fractional)
Nd1 0.5000 0.5000 0.1152  4 Ag 3.31, 4 Cd 3.36, 4 Nd 3.55, 1 Sc 3.66
Sc1 0.5000 0.5000 0.5926  4 Ag 2.93, 4 Cd 3.08
Cd1 0.0000 0.0000 0.8243  4 Sc 3.08, 1 Ag 3.29, 4 Nd 3.36
Ag1 0.0000 0.0000 0.3959  4 Sc 2.93

***

11.
Material: NdSm2Cd2Ag2
Method: DFT, PBE
State: optimized geometry

Properties
**SG**: No. 166
**Raw total energy**: -23.05 eV/cell
**DFT formation energy**: -127 kJ/mol of formula units
**V**: 185.9 Å³/f.u.

Lattice parameters (Å, degrees): 4.9253 4.9253 9.2943 74.64 74.64 60.00
Last column: nearest neighbours and their distance in Å.
Element x y z (fractional)
Nd1 0.0000 0.0000 0.0000  2 Sm 3.33, 6 Ag 3.37, 6 Cd 3.41
Sm1 0.1254 0.1254 0.6238  3 Cd 3.19, 3 Ag 3.23, 1 Nd 3.33
Sm2 0.8746 0.8746 0.3762  3 Cd 3.19, 3 Ag 3.23, 1 Nd 3.33
Cd1 0.7376 0.7376 0.7871  3 Ag 2.84
Cd2 0.2624 0.2624 0.2129  3 Ag 2.84
Ag1 0.5989 0.5989 0.2034  3 Cd 2.84
Ag2 0.4011 0.4011 0.7966  3 Cd 2.84

***

12.
Material: NdSmCdAg
Method: DFT, PBE
State: optimized geometry

Properties
**SG**: No. 216
**Raw total energy**: -14.37 eV/cell
**DFT formation energy**: -108 kJ/mol of formula units
**V**: 108.5 Å³/f.u.

Lattice parameters (Å, degrees): 5.3541 5.3541 5.3541 60.00 60.00 60.00
Last column: nearest neighbours and their distance in Å.
Element x y z (fractional)
Nd1 0.0000 0.0000 0.0000  4 Cd 3.28, 4 Ag 3.28
Ag1 0.2500 0.2500 0.2500  4 Nd 3.28, 4 Sm 3.28
Sm1 0.5000 0.5000 0.5000  4 Cd 3.28, 4 Ag 3.28
Cd1 0.7500 0.7500 0.7500  4 Sm 3.28, 4 Nd 3.28

***

Which of these has the highest raw total energy?
NdSmCdAg

***

What is the DFT formation energy in the eighth record?
-119 kJ/mol of formula units

***

Number 12 is which compound?
NdSmCdAg